Entry 1:
The following is a DFT calculation (GGA-PBE) of an optimized crystal structure of TaTlPd3.

Results
Offset from the most stable computed form ... 0.0 meV/atom
Total DFT energy (no corrections) ... -5.25 eV/atom
Energy of formation from the pure elements ... 0.711 eV/atom

a = 4.9296 Å, b = 4.9296 Å, c = 4.9296 Å
α = 90.00°, β = 90.00°, γ = 90.00°
Closest atoms and distances in Å follow each position.
Element x y z (fractional)
Ta: 0.0000 0.0000 0.0000  6 Pd 2.46
Tl: 0.5000 0.5000 0.5000  12 Pd 3.49
Pd: 0.0000 0.0000 0.5000  2 Ta 2.46
Pd: 0.0000 0.5000 0.0000  2 Ta 2.46
Pd: 0.5000 0.0000 0.0000  2 Ta 2.46

***

Entry 2:
The following is a DFT calculation (GGA-PBE) of an optimized crystal structure of TaTl2Pd.

Results
Offset from the most stable computed form ... 120.0 meV/atom
Total DFT energy (no corrections) ... -4.80 eV/atom
Energy of formation from the pure elements ... 0.648 eV/atom

a = 4.1912 Å, b = 4.1912 Å, c = 20.2504 Å
α = 90.00°, β = 90.00°, γ = 90.00°
Closest atoms and distances in Å follow each position.
Element x y z (fractional)
Ta: 0.0000 0.0000 0.0000  4 Tl 2.93, 4 Pd 2.96
Ta: 0.0000 0.5000 0.2500  4 Tl 2.93, 4 Pd 2.96
Ta: 0.5000 0.0000 0.7500  4 Tl 2.93, 4 Pd 2.96
Ta: 0.5000 0.5000 0.5000  4 Tl 2.93, 4 Pd 2.96
Tl: 0.2504 0.2500 0.1250  2 Pd 2.93, 2 Ta 2.93, 4 Tl 2.96-2.97
Tl: 0.2496 0.2500 0.6250  2 Pd 2.93, 2 Ta 2.93, 4 Tl 2.96-2.97
Tl: 0.2500 0.7504 0.3750  2 Pd 2.93, 2 Ta 2.93, 4 Tl 2.96-2.97
Tl: 0.2500 0.7496 0.8750  2 Pd 2.93, 2 Ta 2.93, 4 Tl 2.96-2.97
Tl: 0.7500 0.2496 0.3750  2 Pd 2.93, 2 Ta 2.93, 4 Tl 2.96-2.97
Tl: 0.7500 0.2504 0.8750  2 Pd 2.93, 2 Ta 2.93, 4 Tl 2.96-2.97
Tl: 0.7496 0.7500 0.1250  2 Pd 2.93, 2 Ta 2.93, 4 Tl 2.96-2.97
Tl: 0.7504 0.7500 0.6250  2 Pd 2.93, 2 Ta 2.93, 4 Tl 2.96-2.97
Pd: 0.0000 0.0000 0.5000  4 Tl 2.93, 4 Ta 2.96
Pd: 0.0000 0.5000 0.7500  4 Tl 2.93, 4 Ta 2.96
Pd: 0.5000 0.0000 0.2500  4 Tl 2.93, 4 Ta 2.96
Pd: 0.5000 0.5000 0.0000  4 Tl 2.93, 4 Ta 2.96

***

Entry 3:
The following is a DFT calculation (GGA-PBE) of an optimized crystal structure of TaTlPdW2.

Results
Total DFT energy (no corrections) ... -6.99 eV/atom
Energy of formation from the pure elements ... 2.075 eV/atom

a = 4.7929 Å, b = 4.7929 Å, c = 4.8000 Å
α = 90.00°, β = 90.00°, γ = 90.00°
Closest atoms and distances in Å follow each position.
Element x y z (fractional)
Ta: 0.0000 0.0000 0.0000  4 Tl 3.39, 8 W 3.39
Tl: 0.5000 0.5000 0.0000  2 Pd 2.40
Pd: 0.5000 0.5000 0.5000  4 W 2.40, 2 Tl 2.40
W: 0.0000 0.5000 0.5000  2 Pd 2.40
W: 0.5000 0.0000 0.5000  2 Pd 2.40

***

Entry 4:
The following is a DFT calculation (GGA-PBE) of an optimized crystal structure of TmTa2Pd9.

Results
Total DFT energy (no corrections) ... -6.81 eV/atom
Energy of formation from the pure elements ... -0.570 eV/atom

a = 4.0026 Å, b = 4.0026 Å, c = 12.0764 Å
α = 90.00°, β = 90.00°, γ = 90.00°
Closest atoms and distances in Å follow each position.
Element x y z (fractional)
Tm: 0.0000 0.0000 0.0000  12 Pd 2.83-2.93
Ta: 0.0000 0.0000 0.3325  12 Pd 2.74-2.85
Ta: 0.0000 0.0000 0.6675  12 Pd 2.74-2.85
Pd: 0.0000 0.5000 0.1774  2 Ta 2.74, 8 Pd 2.80-2.93, 2 Tm 2.93
Pd: 0.0000 0.5000 0.5000  8 Pd 2.79-2.83, 4 Ta 2.85
Pd: 0.0000 0.5000 0.8226  2 Ta 2.74, 8 Pd 2.80-2.93, 2 Tm 2.93
Pd: 0.5000 0.0000 0.1774  2 Ta 2.74, 8 Pd 2.80-2.93, 2 Tm 2.93
Pd: 0.5000 0.0000 0.5000  8 Pd 2.79-2.83, 4 Ta 2.85
Pd: 0.5000 0.0000 0.8226  2 Ta 2.74, 8 Pd 2.80-2.93, 2 Tm 2.93
Pd: 0.5000 0.5000 0.0000  4 Tm 2.83, 8 Pd 2.93
Pd: 0.5000 0.5000 0.3395  8 Pd 2.79-2.80, 4 Ta 2.83
Pd: 0.5000 0.5000 0.6605  8 Pd 2.79-2.80, 4 Ta 2.83

***

Entry 5:
The following is a DFT calculation (GGA-PBE) of an optimized crystal structure of TmTaPd14.

Results
Total DFT energy (no corrections) ... -5.93 eV/atom
Energy of formation from the pure elements ... -0.363 eV/atom

a = 5.6904 Å, b = 5.6904 Å, c = 7.8578 Å
α = 90.00°, β = 90.00°, γ = 90.00°
Closest atoms and distances in Å follow each position.
Element x y z (fractional)
Tm: 0.0000 0.0000 0.0000  12 Pd 2.84-2.85
Ta: 0.5000 0.5000 0.0000  12 Pd 2.77-2.85
Pd: 0.0000 0.0000 0.5000  12 Pd 2.85
Pd: 0.0000 0.5000 0.0000  8 Pd 2.80, 2 Ta 2.85, 2 Tm 2.85
Pd: 0.0000 0.5000 0.5000  12 Pd 2.82-2.85
Pd: 0.2557 0.2557 0.2483  1 Ta 2.77, 10 Pd 2.78-2.91, 1 Tm 2.84
Pd: 0.2557 0.2557 0.7517  1 Ta 2.77, 10 Pd 2.78-2.91, 1 Tm 2.84
Pd: 0.2557 0.7443 0.2483  1 Ta 2.77, 10 Pd 2.78-2.91, 1 Tm 2.84
Pd: 0.2557 0.7443 0.7517  1 Ta 2.77, 10 Pd 2.78-2.91, 1 Tm 2.84
Pd: 0.5000 0.0000 0.0000  8 Pd 2.80, 2 Ta 2.85, 2 Tm 2.85
Pd: 0.5000 0.0000 0.5000  12 Pd 2.82-2.85
Pd: 0.5000 0.5000 0.5000  12 Pd 2.79-2.85
Pd: 0.7443 0.2557 0.2483  1 Ta 2.77, 10 Pd 2.78-2.91, 1 Tm 2.84
Pd: 0.7443 0.2557 0.7517  1 Ta 2.77, 10 Pd 2.78-2.91, 1 Tm 2.84
Pd: 0.7443 0.7443 0.2483  1 Ta 2.77, 10 Pd 2.78-2.91, 1 Tm 2.84
Pd: 0.7443 0.7443 0.7517  1 Ta 2.77, 10 Pd 2.78-2.91, 1 Tm 2.84

***

Entry 6:
The following is a DFT calculation (GGA-PBE) of an optimized crystal structure of Tm3TaPd12.

Results
Total DFT energy (no corrections) ... -6.30 eV/atom
Energy of formation from the pure elements ... -0.827 eV/atom

a = 4.0588 Å, b = 4.0588 Å, c = 16.2470 Å
α = 90.00°, β = 90.00°, γ = 90.00°
Closest atoms and distances in Å follow each position.
Element x y z (fractional)
Tm: 0.0000 0.0000 0.0000  12 Pd 2.87-2.90
Tm: 0.0000 0.0000 0.2497  12 Pd 2.84-2.99
Tm: 0.0000 0.0000 0.7503  12 Pd 2.84-2.99
Ta: 0.0000 0.0000 0.5000  12 Pd 2.76-2.87
Pd: 0.0000 0.5000 0.1275  4 Tm 2.84-2.90, 8 Pd 2.87-2.92
Pd: 0.0000 0.5000 0.3846  2 Ta 2.76, 8 Pd 2.76-2.91, 2 Tm 2.99
Pd: 0.0000 0.5000 0.6154  2 Ta 2.76, 8 Pd 2.76-2.91, 2 Tm 2.99
Pd: 0.0000 0.5000 0.8725  4 Tm 2.84-2.90, 8 Pd 2.87-2.92
Pd: 0.5000 0.0000 0.1275  4 Tm 2.84-2.90, 8 Pd 2.87-2.92
Pd: 0.5000 0.0000 0.3846  2 Ta 2.76, 8 Pd 2.76-2.91, 2 Tm 2.99
Pd: 0.5000 0.0000 0.6154  2 Ta 2.76, 8 Pd 2.76-2.91, 2 Tm 2.99
Pd: 0.5000 0.0000 0.8725  4 Tm 2.84-2.90, 8 Pd 2.87-2.92
Pd: 0.5000 0.5000 0.0000  4 Tm 2.87, 8 Pd 2.90
Pd: 0.5000 0.5000 0.2565  4 Tm 2.87, 8 Pd 2.91-2.92
Pd: 0.5000 0.5000 0.5000  8 Pd 2.76, 4 Ta 2.87
Pd: 0.5000 0.5000 0.7435  4 Tm 2.87, 8 Pd 2.91-2.92

***

Entry 7:
The following is a DFT calculation (GGA-PBE) of an optimized crystal structure of TaV4Pd.

Results
Total DFT energy (no corrections) ... -8.91 eV/atom
Energy of formation from the pure elements ... 0.006 eV/atom

a = 4.9892 Å, b = 4.9892 Å, c = 4.9892 Å
α = 60.00°, β = 60.00°, γ = 60.00°
Closest atoms and distances in Å follow each position.
Element x y z (fractional)
Ta: 0.0000 0.0000 0.0000  12 V 2.92, 4 Pd 3.06
V: 0.3730 0.3730 0.3730  6 V 2.46-2.53
V: 0.3730 0.3730 0.8809  6 V 2.46-2.53
V: 0.3730 0.8809 0.3730  6 V 2.46-2.53
V: 0.8809 0.3730 0.3730  6 V 2.46-2.53
Pd: 0.7500 0.7500 0.7500  12 V 2.93, 4 Ta 3.06

***

Entry 8:
The following is a DFT calculation (GGA-PBE) of an optimized crystal structure of TaVPd3.

Results
Offset from the most stable computed form ... 1045.1 meV/atom
Total DFT energy (no corrections) ... -6.34 eV/atom
Energy of formation from the pure elements ... 0.965 eV/atom

a = 4.5414 Å, b = 4.5414 Å, c = 4.5414 Å
α = 90.00°, β = 90.00°, γ = 90.00°
Closest atoms and distances in Å follow each position.
Element x y z (fractional)
Ta: 0.0000 0.0000 0.0000  12 Pd 3.21
V: 0.5000 0.5000 0.5000  6 Pd 2.27
Pd: 0.0000 0.5000 0.5000  2 V 2.27
Pd: 0.5000 0.0000 0.5000  2 V 2.27
Pd: 0.5000 0.5000 0.0000  2 V 2.27

***

Entry 9:
The following is a DFT calculation (GGA-PBE) of an optimized crystal structure of TaVPd3.

Results
Offset from the most stable computed form ... 0.0 meV/atom
Total DFT energy (no corrections) ... -7.39 eV/atom
Energy of formation from the pure elements ... -0.080 eV/atom

a = 5.2992 Å, b = 5.2992 Å, c = 6.8824 Å
α = 97.16°, β = 97.16°, γ = 120.48°
Closest atoms and distances in Å follow each position.
Element x y z (fractional)
Ta: 0.0781 0.0781 0.1977  1 Ta 2.64, 6 Pd 2.66-2.95
Ta: 0.9219 0.9219 0.8023  1 Ta 2.64, 6 Pd 2.66-2.95
V: 0.3699 0.6301 0.0000  1 V 2.39, 2 Pd 2.67
V: 0.6301 0.3699 0.0000  1 V 2.39, 2 Pd 2.67
Pd: 0.1080 0.5921 0.3113  5 Pd 2.63-2.72, 2 Ta 2.66-2.86, 2 V 2.67-2.72
Pd: 0.3424 0.3424 0.6298  5 Pd 2.65-2.73, 2 V 2.75, 2 Ta 2.76-2.95
Pd: 0.4079 0.8920 0.6887  5 Pd 2.63-2.72, 2 Ta 2.66-2.86, 2 V 2.67-2.72
Pd: 0.5921 0.1080 0.3113  5 Pd 2.63-2.72, 2 Ta 2.66-2.86, 2 V 2.67-2.72
Pd: 0.6576 0.6576 0.3702  5 Pd 2.65-2.73, 2 V 2.75, 2 Ta 2.76-2.95
Pd: 0.8920 0.4079 0.6887  5 Pd 2.63-2.72, 2 Ta 2.66-2.86, 2 V 2.67-2.72

***

Entry 10:
The following is a DFT calculation (GGA-PBE) of an optimized crystal structure of Ta2V2Pd7.

Results
Total DFT energy (no corrections) ... -7.27 eV/atom
Energy of formation from the pure elements ... -0.152 eV/atom

a = 6.4198 Å, b = 6.4198 Å, c = 4.8519 Å
α = 110.13°, β = 110.13°, γ = 88.72°
Closest atoms and distances in Å follow each position.
Element x y z (fractional)
Ta: 0.1774 0.8226 0.0000  8 Pd 2.70-2.96, 2 V 2.89
Ta: 0.8226 0.1774 0.0000  8 Pd 2.70-2.96, 2 V 2.89
V: 0.2744 0.2744 0.0515  8 Pd 2.55-2.72
V: 0.7256 0.7256 0.9485  8 Pd 2.55-2.72
Pd: 0.0000 0.0000 0.5000  4 Pd 2.62, 2 V 2.65, 4 Ta 2.90
Pd: 0.0709 0.5786 0.3198  2 V 2.55-2.72, 5 Pd 2.62-2.83, 2 Ta 2.70-2.79
Pd: 0.3968 0.3968 0.6743  3 V 2.57-2.67, 3 Pd 2.74-2.80
Pd: 0.4214 0.9291 0.6802  2 V 2.55-2.72, 5 Pd 2.62-2.83, 2 Ta 2.70-2.79
Pd: 0.5786 0.0709 0.3198  2 V 2.55-2.72, 5 Pd 2.62-2.83, 2 Ta 2.70-2.79
Pd: 0.6032 0.6032 0.3257  3 V 2.57-2.67, 3 Pd 2.74-2.80
Pd: 0.9291 0.4214 0.6802  2 V 2.55-2.72, 5 Pd 2.62-2.83, 2 Ta 2.70-2.79

***

Entry 11:
The following is a DFT calculation (GGA-PBE) of an optimized crystal structure of TaV2Pd8.

Results
Total DFT energy (no corrections) ... -6.82 eV/atom
Energy of formation from the pure elements ... -0.306 eV/atom

a = 7.3057 Å, b = 7.3057 Å, c = 6.2719 Å
α = 106.47°, β = 106.47°, γ = 31.33°
Closest atoms and distances in Å follow each position.
Element x y z (fractional)
Ta: 0.0000 0.0000 0.0000  12 Pd 2.76-2.82
V: 0.2780 0.2780 0.3565  10 Pd 2.65-2.78, 2 V 2.93
V: 0.7220 0.7220 0.6435  10 Pd 2.65-2.78, 2 V 2.93
Pd: 0.1012 0.1012 0.4541  3 V 2.65-2.73, 7 Pd 2.72-2.90, 1 Ta 2.78
Pd: 0.1817 0.1817 0.9165  3 V 2.69-2.78, 8 Pd 2.74-2.80, 1 Ta 2.76
Pd: 0.3582 0.3582 0.8055  3 V 2.71-2.73, 7 Pd 2.72-2.82, 2 Ta 2.82
Pd: 0.4556 0.4556 0.2679  1 V 2.72, 9 Pd 2.77-2.90, 2 Ta 2.78
Pd: 0.5444 0.5444 0.7321  1 V 2.72, 9 Pd 2.77-2.90, 2 Ta 2.78
Pd: 0.6418 0.6418 0.1945  3 V 2.71-2.73, 7 Pd 2.72-2.82, 2 Ta 2.82
Pd: 0.8183 0.8183 0.0835  3 V 2.69-2.78, 8 Pd 2.74-2.80, 1 Ta 2.76
Pd: 0.8988 0.8988 0.5459  3 V 2.65-2.73, 7 Pd 2.72-2.90, 1 Ta 2.78

***

Entry 12:
The following is a DFT calculation (GGA-PBE) of an optimized crystal structure of Ta2V2Pd.

Results
Total DFT energy (no corrections) ... -9.28 eV/atom
Energy of formation from the pure elements ... 0.149 eV/atom

a = 6.6778 Å, b = 6.6778 Å, c = 3.6321 Å
α = 90.00°, β = 90.00°, γ = 90.00°
Closest atoms and distances in Å follow each position.
Element x y z (fractional)
Ta: 0.1742 0.3258 0.0000  6 V 2.63-2.72
Ta: 0.3258 0.8258 0.0000  6 V 2.63-2.72
Ta: 0.6742 0.1742 0.0000  6 V 2.63-2.72
Ta: 0.8258 0.6742 0.0000  6 V 2.63-2.72
V: 0.1238 0.6238 0.5000  1 V 2.34
V: 0.3762 0.1238 0.5000  1 V 2.34
V: 0.6238 0.8762 0.5000  1 V 2.34
V: 0.8762 0.3762 0.5000  1 V 2.34
Pd: 0.0000 0.0000 0.5000  4 V 2.64
Pd: 0.5000 0.5000 0.5000  4 V 2.64

***

Mass density / g/cm³: 9.8 13.0 12.9 12.8 12.0 12.2 9.3 9.8 11.4 11.5 11.3 11.7